Computed, not measured: SrRhBr2 after structural relaxation at the PBEsol level of DFT.

Unit cell a=5.0178 b=5.0178 c=5.0178 alpha=60.00 beta=60.00 gamma=60.00
Last column: magnetic moment on the atom in μB.
Positions (direct):
1 Br 0.7500 0.7500 0.7500  0.05
2 Rh 0.0000 0.0000 0.0000  0.89
3 Sr 0.5000 0.5000 0.5000  0.00
4 Br 0.2500 0.2500 0.2500  0.05

Summary:
**Spin magnetization**: 1.0 μB per cell
**Energy**: -4.04 eV per atom